[1]
Tm4IrPd2 PBE relaxed; E_form = -0.828 eV/atom; excess energy over the best structure of this formula in the dataset = 0.000 eV/atom; total energy = -42.929 eV/f.u.
1.0
7.4385 0.0000 0.0000
-2.4447 7.0256 0.0000
-2.4975 -3.5122 6.0634
Tm Ir Pd
8 2 4
direct
0.0000 0.0000 0.0000
0.0004 0.0016 0.5004
0.1240 0.6245 0.2463
0.3612 0.4848 0.6223
0.4835 0.3611 0.1228
0.4849 0.8622 0.1234
0.6235 0.1247 0.7465
0.8615 0.4851 0.6233
0.1174 0.3683 0.8732
0.3673 0.1178 0.3730
0.2423 0.8631 0.7432
0.6220 0.7433 0.5024
0.7417 0.6220 0.0029
0.8627 0.2435 0.2430

[2]
PmGaHg2 PBE relaxed; E_form = -0.365 eV/atom; total energy = -9.842 eV/f.u.
1.0
2.2446 -8.8113 0.0000
2.2446 8.8113 0.0000
0.0000 0.0000 9.6694
Pm Ga Hg
4 4 8
direct
0.0000 0.0000 0.0000
0.0000 0.0000 0.5000
0.1975 0.8025 0.7500
0.8025 0.1975 0.2500
0.3590 0.6410 0.0297
0.3590 0.6410 0.4703
0.6410 0.3590 0.5297
0.6410 0.3590 0.9703
0.1959 0.8041 0.0949
0.1959 0.8041 0.4051
0.3969 0.6031 0.7500
0.4470 0.5530 0.2500
0.5530 0.4470 0.7500
0.6031 0.3969 0.2500
0.8041 0.1959 0.5949
0.8041 0.1959 0.9051

[3]
K2AcNpSe4 PBE relaxed; total energy = -45.302 eV/f.u.
1.0
7.7154 0.0000 0.0000
0.0000 4.4357 0.0000
-2.5729 0.0000 7.6909
K Ac Np Se
2 1 1 4
direct
0.0000 0.0000 0.0000
0.5000 0.5000 0.0000
0.0000 0.5000 0.5000
0.5000 0.0000 0.5000
0.2518 0.0000 0.7164
0.2778 0.5000 0.2930
0.7222 0.5000 0.7070
0.7482 0.0000 0.2836

What is the formula in the first record? Tm4IrPd2

total energy of number 2 (PmGaHg2)? -9.842 eV/f.u.

Repeat the second record exactly.
PmGaHg2 PBE relaxed; E_form = -0.365 eV/atom; total energy = -9.842 eV/f.u.
1.0
2.2446 -8.8113 0.0000
2.2446 8.8113 0.0000
0.0000 0.0000 9.6694
Pm Ga Hg
4 4 8
direct
0.0000 0.0000 0.0000
0.0000 0.0000 0.5000
0.1975 0.8025 0.7500
0.8025 0.1975 0.2500
0.3590 0.6410 0.0297
0.3590 0.6410 0.4703
0.6410 0.3590 0.5297
0.6410 0.3590 0.9703
0.1959 0.8041 0.0949
0.1959 0.8041 0.4051
0.3969 0.6031 0.7500
0.4470 0.5530 0.2500
0.5530 0.4470 0.7500
0.6031 0.3969 0.2500
0.8041 0.1959 0.5949
0.8041 0.1959 0.9051

Among the records above, which one has the lowest total energy? K2AcNpSe4